VASP calculation (PBE) on crystalline Mn2Pd3Au6 at its relaxed geometry.

Its calculated formation energy is -0.133 eV/atom. The relative energy among the computed polymorphs is 0.0 meV per atom.

The space group is P-1 (No. 2) and the conventional cell measures 5.023, 6.275 and 6.486 Å, with angles of 107.93, 97.17 and 104.18 degrees. Symmetry generates all atoms from Mn at (0.142, 0.052, 0.234), Pd at (0.221, 0.389, 0.042), Pd at (0.500, 0.500, 0.500), Au at (0.045, 0.681, 0.403), Au at (0.312, 0.775, 0.867) and Au at (0.410, 0.141, 0.682).